This record from Alexandria via LeMat-Bulk describes a geometry-optimized Fe3TcSb structure. The functional is PBE.

Summary:
As for the energy: -33.51 eV/cell. The calculated volume comes out at 93.5 Å³ per cell. For the polymorph energy (0 for the lowest one), the calculation gives 0 meV/atom. For the total magnetic moment, the calculation gives 6.75 μB per formula unit. Its formation energy from raw total energies is 6.4 eV per formula unit.

Lattice parameters (Å, degrees): 4.538 4.538 4.538 90.00 90.00 90.00
Each line ends with the local moment (μB).
Element x y z (fractional)
Fe  0.000  0.500  0.000  2.37
Fe  0.500  0.000  0.000  2.00
Fe  0.000  0.000  0.500  2.59
Sb  0.500  0.500  0.500  -0.04
Tc  0.000  0.000  0.000  -0.28

***

This record from Alexandria via LeMat-Bulk describes a geometry-optimized Tb2PmPt structure. The functional is PBE.

Summary:
As for the energy: -91.17 eV/cell. The calculated volume comes out at 455.0 Å³ per cell. For the polymorph energy (0 for the lowest one), the calculation gives 0 meV/atom. For the total magnetic moment, the calculation gives 0.00 μB per formula unit. For the formation energy, the calculation gives -0.685 eV per atom.

Lattice parameters (Å, degrees): 6.576 7.140 9.690 90.00 90.00 90.00
Element x y z (fractional)
Tb  0.826  0.322  0.562
Tb  0.674  0.822  0.938
Tb  0.174  0.678  0.062
Tb  0.326  0.178  0.062
Tb  0.174  0.678  0.438
Tb  0.826  0.322  0.938
Tb  0.674  0.822  0.562
Tb  0.326  0.178  0.438
Pm  0.634  0.524  0.250
Pm  0.866  0.024  0.250
Pm  0.134  0.976  0.750
Pm  0.366  0.476  0.750
Pt  0.935  0.614  0.750
Pt  0.065  0.386  0.250
Pt  0.435  0.886  0.250
Pt  0.565  0.114  0.750

***

This record from Alexandria via LeMat-Bulk describes a geometry-optimized MgBiPO2 structure. The functional is PBE.

Summary:
As for the energy: -22.88 eV/cell. The calculated volume comes out at 82.3 Å³ per cell. For the polymorph energy (0 for the lowest one), the calculation gives 0 meV/atom. For the total magnetic moment, the calculation gives 1.63 μB per formula unit. Its formation energy from raw total energies is -2.1 eV per formula unit.

Lattice parameters (Å, degrees): 3.996 3.996 5.154 90.00 90.00 90.00
Each line ends with the local moment (μB).
Element x y z (fractional)
P  0.000  0.000  0.500  0.24
Mg  0.000  0.000  0.000  0.00
Bi  0.500  0.500  0.500  -0.06
O  0.000  0.500  0.000  0.52
O  0.500  0.000  0.000  0.52

***

This record from Alexandria via LeMat-Bulk describes a geometry-optimized Nd3InTc structure. The functional is PBE.

Summary:
As for the energy: -27.22 eV/cell. The calculated volume comes out at 158.1 Å³ per cell. For the total magnetic moment, the calculation gives 0.00 μB per formula unit. For the formation energy, the calculation gives 0.038 eV per atom.

Lattice parameters (Å, degrees): 5.408 5.408 5.408 90.00 90.00 90.00
Element x y z (fractional)
In  0.500  0.500  0.500
Tc  0.000  0.000  0.000
Nd  0.000  0.500  0.000
Nd  0.500  0.000  0.000
Nd  0.000  0.000  0.500

***

This record from Alexandria via LeMat-Bulk describes a geometry-optimized Ti2Ge2Pd structure. The functional is PBE.

Summary:
As for the energy: -65.70 eV/cell. The calculated volume comes out at 166.3 Å³ per cell. For the polymorph energy (0 for the lowest one), the calculation gives 80 meV/atom. For the total magnetic moment, the calculation gives 0.00 μB per formula unit. For the formation energy, the calculation gives -0.527 eV per atom.

Lattice parameters (Å, degrees): 4.085 5.838 7.267 90.00 106.33 90.00
Element x y z (fractional)
Pd  0.612  0.574  0.224
Pd  0.388  0.074  0.776
Ti  0.012  0.241  0.024
Ti  0.810  0.420  0.620
Ti  0.190  0.920  0.380
Ti  0.988  0.741  0.976
Ge  0.569  0.989  0.137
Ge  0.189  0.410  0.377
Ge  0.431  0.489  0.863
Ge  0.811  0.910  0.623

***

This record from Alexandria via LeMat-Bulk describes a geometry-optimized NaVSeN2 structure. The functional is PBE.

Summary:
As for the energy: -19.90 eV/cell. The calculated volume comes out at 86.9 Å³ per cell. For the polymorph energy (0 for the lowest one), the calculation gives 2081 meV/atom. For the total magnetic moment, the calculation gives 5.08 μB per formula unit. Its formation energy from raw total energies is 10.7 eV per formula unit.

Lattice parameters (Å, degrees): 4.131 4.131 5.093 90.00 90.00 90.00
Each line ends with the local moment (μB).
Element x y z (fractional)
Se  0.000  0.000  0.500  0.18
V  0.500  0.500  0.500  0.89
N  0.000  0.500  0.000  1.34
N  0.500  0.000  0.000  1.34
Na  0.000  0.000  0.000  0.06

***

This record from Alexandria via LeMat-Bulk describes a geometry-optimized KReTe2 structure. The functional is PBE.

Summary:
As for the energy: -18.87 eV/cell. The calculated volume comes out at 109.1 Å³ per cell. For the polymorph energy (0 for the lowest one), the calculation gives 283 meV/atom. For the total magnetic moment, the calculation gives 0.00 μB per formula unit. Its formation energy from raw total energies is 1.0 eV per formula unit.

Lattice parameters (Å, degrees): 4.162 3.228 8.125 88.03 90.00 90.00
Element x y z (fractional)
Te  0.000  0.781  0.957
Te  0.000  0.719  0.543
Re  0.500  0.750  0.750
K  0.500  0.250  0.250

***

This record from Alexandria via LeMat-Bulk describes a geometry-optimized Y2NiPdI structure. The functional is PBE.

Summary:
As for the energy: -22.43 eV/cell. The calculated volume comes out at 152.2 Å³ per cell. For the total magnetic moment, the calculation gives 0.00 μB per formula unit. Its formation energy from raw total energies is 3.0 eV per formula unit.

Lattice parameters (Å, degrees): 5.605 4.846 5.605 90.00 90.00 90.00
Element x y z (fractional)
Pd  0.000  0.500  0.000
Y  0.500  0.000  0.000
Y  0.000  0.000  0.500
Ni  0.500  0.500  0.500
I  0.000  0.000  0.000

***

This record from Alexandria via LeMat-Bulk describes a geometry-optimized PuInGa2O8 structure. The functional is PBE.

Summary:
As for the energy: -84.69 eV/cell. The calculated volume comes out at 145.6 Å³ per cell. For the total magnetic moment, the calculation gives 0.97 μB per formula unit. Its formation energy from raw total energies is -21.9 eV per formula unit.

Lattice parameters (Å, degrees): 4.795 4.795 6.334 90.00 90.00 91.69
Each line ends with the local moment (μB).
Element x y z (fractional)
O  0.203  0.797  0.228  -0.07
O  0.797  0.203  0.772  -0.07
O  0.686  0.686  0.500  -0.03
O  0.692  0.692  0.000  -0.07
O  0.314  0.314  0.500  -0.03
O  0.203  0.797  0.772  -0.07
O  0.797  0.203  0.228  -0.07
O  0.308  0.308  0.000  -0.07
Pu  0.000  0.000  0.000  1.49
In  0.000  0.000  0.500  0.00
Ga  0.500  0.500  0.262  0.00
Ga  0.500  0.500  0.738  0.00

***

This record from Alexandria via LeMat-Bulk describes a geometry-optimized SrSc2FeBi structure. The functional is PBE.

Summary:
As for the energy: -19.67 eV/cell. The calculated volume comes out at 130.4 Å³ per cell. For the total magnetic moment, the calculation gives 0.00 μB per formula unit. For the formation energy, the calculation gives 1.403 eV per atom.

Lattice parameters (Å, degrees): 5.398 4.475 5.398 90.00 90.00 90.00
Element x y z (fractional)
Fe  0.000  0.500  0.000
Sr  0.000  0.000  0.000
Sc  0.500  0.000  0.000
Sc  0.000  0.000  0.500
Bi  0.500  0.500  0.500

***

This record from Alexandria via LeMat-Bulk describes a geometry-optimized Hf2BePb structure. The functional is PBE.

Summary:
As for the energy: -25.93 eV/cell. The calculated volume comes out at 80.1 Å³ per cell. For the polymorph energy (0 for the lowest one), the calculation gives 247 meV/atom. For the total magnetic moment, the calculation gives 0.00 μB per formula unit. For the formation energy, the calculation gives 0.352 eV per atom.

Lattice parameters (Å, degrees): 4.838 4.838 4.838 60.00 60.00 60.00
Element x y z (fractional)
Hf  0.750  0.750  0.750
Hf  0.250  0.250  0.250
Be  0.000  0.000  0.000
Pb  0.500  0.500  0.500

***

This record from Alexandria via LeMat-Bulk describes a geometry-optimized KMg2Cl structure. The functional is PBE.

Summary:
As for the energy: -7.40 eV/cell. The calculated volume comes out at 126.2 Å³ per cell. For the polymorph energy (0 for the lowest one), the calculation gives 305 meV/atom. For the total magnetic moment, the calculation gives 0.00 μB per formula unit. Its formation energy from raw total energies is -1.3 eV per formula unit.

Lattice parameters (Å, degrees): 5.755 5.755 5.755 123.79 123.79 83.55
Element x y z (fractional)
Mg  0.250  0.750  0.500
Mg  0.000  0.000  0.000
K  0.750  0.250  0.500
Cl  0.500  0.500  0.000

***

This record from Alexandria via LeMat-Bulk describes a geometry-optimized Rh2WBr structure. The functional is PBE.

Summary:
As for the energy: -26.15 eV/cell. The calculated volume comes out at 64.4 Å³ per cell. For the polymorph energy (0 for the lowest one), the calculation gives 644 meV/atom. For the total magnetic moment, the calculation gives 0.00 μB per formula unit. Its formation energy from raw total energies is 3.2 eV per formula unit.

Lattice parameters (Å, degrees): 4.727 4.727 4.727 127.57 127.57 77.32
Element x y z (fractional)
W  0.250  0.750  0.500
Rh  0.500  0.500  0.000
Rh  0.000  0.000  0.000
Br  0.750  0.250  0.500

***

This record from Alexandria via LeMat-Bulk describes a geometry-optimized SiNi2Au structure. The functional is PBE.

Summary:
As for the energy: -20.73 eV/cell. The calculated volume comes out at 53.6 Å³ per cell. For the total magnetic moment, the calculation gives 0.00 μB per formula unit. Its formation energy from raw total energies is -0.5 eV per formula unit.

Lattice parameters (Å, degrees): 4.417 4.417 4.763 75.02 75.02 36.85
Element x y z (fractional)
Ni  0.767  0.767  0.712
Ni  0.004  0.004  0.966
Si  0.496  0.496  0.588
Au  0.233  0.233  0.234

***

This record from Alexandria via LeMat-Bulk describes a geometry-optimized LiAl2Cd structure. The functional is PBE.

Summary:
As for the energy: -18.87 eV/cell. The calculated volume comes out at 165.9 Å³ per cell. For the total magnetic moment, the calculation gives 0.00 μB per formula unit. For the formation energy, the calculation gives 0.219 eV per atom.

Lattice parameters (Å, degrees): 7.837 7.837 6.165 50.54 50.54 90.00
Element x y z (fractional)
Al  0.637  0.125  0.250
Al  0.875  0.887  0.750
Al  0.375  0.363  0.750
Al  0.113  0.625  0.250
Li  0.500  0.500  0.000
Li  0.250  0.750  0.500
Cd  0.750  0.250  0.500
Cd  0.000  0.000  0.000

***

This record from Alexandria via LeMat-Bulk describes a geometry-optimized Na2BeSeO4 structure. The functional is PBE.

Summary:
As for the energy: -41.08 eV/cell. The calculated volume comes out at 100.5 Å³ per cell. For the total magnetic moment, the calculation gives 0.00 μB per formula unit. Its formation energy from raw total energies is -11.4 eV per formula unit.

Lattice parameters (Å, degrees): 5.226 5.226 5.226 89.54 120.27 120.27
Element x y z (fractional)
Na  0.500  0.750  0.250
Na  0.000  0.000  0.000
O  0.057  0.218  0.603
O  0.385  0.839  0.782
O  0.943  0.546  0.161
O  0.615  0.397  0.454
Be  0.000  0.500  0.500
Se  0.500  0.250  0.750

***

This record from Alexandria via LeMat-Bulk describes a geometry-optimized Hf2BClF structure. The functional is PBE.

Summary:
As for the energy: -29.45 eV/cell. The calculated volume comes out at 74.7 Å³ per cell. For the total magnetic moment, the calculation gives 0.00 μB per formula unit. Its formation energy from raw total energies is 0.9 eV per formula unit.

Lattice parameters (Å, degrees): 4.652 3.454 4.652 90.00 90.00 90.00
Element x y z (fractional)
Hf  0.000  0.000  0.500
Hf  0.500  0.000  0.000
B  0.000  0.500  0.000
Cl  0.500  0.500  0.500
F  0.000  0.000  0.000

***

This record from Alexandria via LeMat-Bulk describes a geometry-optimized YCrTc2 structure. The functional is PBE.

Summary:
As for the energy: -35.04 eV/cell. The calculated volume comes out at 65.5 Å³ per cell. For the polymorph energy (0 for the lowest one), the calculation gives 269 meV/atom. For the total magnetic moment, the calculation gives 0.68 μB per formula unit. For the formation energy, the calculation gives 0.445 eV per atom.

Lattice parameters (Å, degrees): 5.250 5.250 2.839 78.83 78.83 115.96
Each line ends with the local moment (μB).
Element x y z (fractional)
Y  0.500  0.000  0.500  0.01
Cr  0.000  0.500  0.500  0.91
Tc  0.000  0.000  0.000  -0.14
Tc  0.500  0.500  0.000  -0.14

***

This record from Alexandria via LeMat-Bulk describes a geometry-optimized YHfInRu2 structure. The functional is PBE.

Summary:
As for the energy: -34.48 eV/cell. The calculated volume comes out at 118.9 Å³ per cell. For the total magnetic moment, the calculation gives 0.00 μB per formula unit. For the formation energy, the calculation gives 0.646 eV per atom.

Lattice parameters (Å, degrees): 4.763 5.240 4.763 90.00 90.00 90.00
Element x y z (fractional)
Ru  0.500  0.000  0.000
Ru  0.000  0.000  0.500
Hf  0.000  0.000  0.000
Y  0.500  0.500  0.500
In  0.000  0.500  0.000

***

This record from Alexandria via LeMat-Bulk describes a geometry-optimized Zr2Bi2Pb structure. The functional is PBE.

Summary:
As for the energy: -117.05 eV/cell. The calculated volume comes out at 559.9 Å³ per cell. For the polymorph energy (0 for the lowest one), the calculation gives 78 meV/atom. For the total magnetic moment, the calculation gives 0.00 μB per formula unit. For the formation energy, the calculation gives -0.139 eV per atom.

Lattice parameters (Å, degrees): 5.253 8.123 13.123 90.00 90.00 90.00
Element x y z (fractional)
Pb  0.750  0.707  0.925
Pb  0.250  0.293  0.075
Pb  0.250  0.793  0.425
Pb  0.750  0.207  0.575
Zr  0.250  0.507  0.574
Zr  0.750  0.993  0.074
Zr  0.750  0.493  0.426
Zr  0.750  0.989  0.766
Zr  0.250  0.511  0.266
Zr  0.250  0.007  0.926
Zr  0.750  0.489  0.734
Zr  0.250  0.011  0.234
Bi  0.750  0.266  0.921
Bi  0.250  0.240  0.739
Bi  0.250  0.740  0.761
Bi  0.250  0.234  0.421
Bi  0.750  0.260  0.239
Bi  0.750  0.766  0.579
Bi  0.750  0.760  0.261
Bi  0.250  0.734  0.079